# TiHgIF2 (PBE, relaxed)
# **Formation energy (no corrections)**: -1.587 eV per atom
# **Spin magnetization**: 1.5 μB/cell
# **Uncorrected energy**: -4.285 eV per atom
# **Crystal system**: tetragonal
data_TiHgIF2
_space_group_name_H-M_alt 'P 4/m m m'
_space_group_IT_number 123
_space_group_name_Hall '-P 4 2'
_cell_length_a 4.275
_cell_length_b 4.275
_cell_length_c 5.832
_cell_angle_alpha 90.00
_cell_angle_beta 90.00
_cell_angle_gamma 90.00
loop_
_atom_site_label
_atom_site_type_symbol
_atom_site_fract_x
_atom_site_fract_y
_atom_site_fract_z
Ti1 Ti 0.000 0.000 0.000
Hg1 Hg 0.500 0.500 0.500
I1 I 0.000 0.000 0.500
F1 F 0.000 0.500 0.000